Density functional theory data (PBE-GGA) for crystalline Nb2GaHRu at its relaxed geometry.

* magnetic moment: 0.0000 μB per atom
* E_tot: -7.3858 eV per atom

a = 4.1281 Å, b = 4.1281 Å, c = 3.9553 Å
α = 90.00°, β = 90.00°, γ = 90.00°
Element x y z (fractional)
Ru 0.0000 0.0000 0.5000
Nb 0.0000 0.5000 0.0000
Nb 0.5000 0.0000 0.0000
Ga 0.5000 0.5000 0.5000
H 0.0000 0.0000 0.0000